(1)
DFT (PBE) results for a relaxed Hf2CBr2 crystal.

Cell: 4.089 4.089 7.723 Å, 74.65 74.65 90.00°
Fractional coordinates of all 5 atoms:
C1 0.000 0.000 0.000
Hf1 0.750 0.250 0.500
Hf2 0.250 0.750 0.500
Br1 0.385 0.385 0.230
Br2 0.615 0.615 0.770

ΔE_f (raw) = 1.176 eV per atom
Space-group type = I4/mmm
VASP energy = -5.32 eV/atom
DOS(E_F) = 3.9 states/eV/cell

(2)
DFT (PBE) results for a relaxed HfIn2CBr crystal.

Cell: 4.683 4.853 4.683 Å, 90.00 90.00 90.00°
Fractional coordinates of all 5 atoms:
C1 0.000 0.000 0.000
Hf1 0.500 0.500 0.500
Br1 0.000 0.500 0.000
In1 0.000 0.000 0.500
In2 0.500 0.000 0.000

ΔE_f (raw) = 1.169 eV per atom
Space-group type = P4/mmm
VASP energy = -4.10 eV/atom
DOS(E_F) = 5.9 states/eV/cell